(1)
## Ac2Dy2ErHg5 (PBE)

Data for an optimized crystal structure of Ac2Dy2ErHg5.

Properties
Space-group type: P4/mbm
Final energy: -27.0 eV per formula unit

a b c (Å): 3.9575 12.1955 12.1955
angles (deg): 90.00 90.00 90.00
With the nearest neighbours (Å) after each atom.
Element x y z (fractional)
1 Hg 0.5000 0.5000 0.0000  4 Dy 3.00
2 Hg 0.5000 0.0798 0.8209  2 Er 3.10, 2 Dy 3.11, 2 Hg 3.38
3 Hg 0.5000 0.6791 0.4202  2 Er 3.10, 2 Dy 3.11, 2 Hg 3.38
4 Hg 0.5000 0.9202 0.1791  2 Er 3.10, 2 Dy 3.11, 2 Hg 3.38
5 Hg 0.5000 0.1791 0.0798  2 Er 3.10, 2 Dy 3.11, 2 Hg 3.38
6 Hg 0.5000 0.4202 0.3209  2 Er 3.10, 2 Dy 3.11, 2 Hg 3.38
7 Hg 0.5000 0.5798 0.6791  2 Er 3.10, 2 Dy 3.11, 2 Hg 3.38
8 Hg 0.5000 0.8209 0.9202  2 Er 3.10, 2 Dy 3.11, 2 Hg 3.38
9 Hg 0.5000 0.3209 0.5798  2 Er 3.10, 2 Dy 3.11, 2 Hg 3.38
10 Hg 0.5000 0.0000 0.5000  4 Dy 3.00
11 Ac 0.0000 0.8280 0.6720  3 Dy 3.40-3.73, 6 Hg 3.57-3.62
12 Ac 0.0000 0.3280 0.8280  3 Dy 3.40-3.73, 6 Hg 3.57-3.62
13 Ac 0.0000 0.6720 0.1720  3 Dy 3.40-3.73, 6 Hg 3.57-3.62
14 Ac 0.0000 0.1720 0.3280  3 Dy 3.40-3.73, 6 Hg 3.57-3.62
15 Dy 0.0000 0.3690 0.1310  6 Hg 3.00-3.11
16 Dy 0.0000 0.8690 0.3690  6 Hg 3.00-3.11
17 Dy 0.0000 0.6310 0.8690  6 Hg 3.00-3.11
18 Dy 0.0000 0.1310 0.6310  6 Hg 3.00-3.11
19 Er 0.0000 0.5000 0.5000  8 Hg 3.10
20 Er 0.0000 0.0000 0.0000  8 Hg 3.10

(2)
## Ac2DyEr2Hg5 (PBE)

Data for an optimized crystal structure of Ac2DyEr2Hg5.

Properties
Space-group type: P4/mbm
Final energy: -27.0 eV per formula unit

a b c (Å): 3.9737 12.1424 12.1424
angles (deg): 90.00 90.00 90.00
With the nearest neighbours (Å) after each atom.
Element x y z (fractional)
1 Dy 0.0000 0.0000 0.0000  8 Hg 3.13
2 Dy 0.0000 0.5000 0.5000  8 Hg 3.13
3 Er 0.0000 0.3707 0.1293  6 Hg 2.98-3.09
4 Er 0.0000 0.6293 0.8707  6 Hg 2.98-3.09
5 Er 0.0000 0.1293 0.6293  6 Hg 2.98-3.09
6 Er 0.0000 0.8707 0.3707  6 Hg 2.98-3.09
7 Ac 0.0000 0.6728 0.1728  3 Er 3.40-3.71, 6 Hg 3.57-3.62
8 Ac 0.0000 0.3272 0.8272  3 Er 3.40-3.71, 6 Hg 3.57-3.62
9 Ac 0.0000 0.1728 0.3272  3 Er 3.40-3.71, 6 Hg 3.57-3.62
10 Ac 0.0000 0.8272 0.6728  3 Er 3.40-3.71, 6 Hg 3.57-3.62
11 Hg 0.5000 0.0779 0.8169  2 Er 3.09, 2 Dy 3.13, 2 Hg 3.42
12 Hg 0.5000 0.1831 0.0779  2 Er 3.09, 2 Dy 3.13, 2 Hg 3.42
13 Hg 0.5000 0.0000 0.5000  4 Er 2.98
14 Hg 0.5000 0.9221 0.1831  2 Er 3.09, 2 Dy 3.13, 2 Hg 3.42
15 Hg 0.5000 0.5000 0.0000  4 Er 2.98
16 Hg 0.5000 0.3169 0.5779  2 Er 3.09, 2 Dy 3.13, 2 Hg 3.42
17 Hg 0.5000 0.8169 0.9221  2 Er 3.09, 2 Dy 3.13, 2 Hg 3.42
18 Hg 0.5000 0.4221 0.3169  2 Er 3.09, 2 Dy 3.13, 2 Hg 3.42
19 Hg 0.5000 0.5779 0.6831  2 Er 3.09, 2 Dy 3.13, 2 Hg 3.42
20 Hg 0.5000 0.6831 0.4221  2 Er 3.09, 2 Dy 3.13, 2 Hg 3.42

(3)
## AcDyErHg (PBE)

Data for an optimized crystal structure of AcDyErHg.

Properties
Space-group type: F-43m
Final energy: -13.3 eV per formula unit

a b c (Å): 5.5552 5.5552 5.5552
angles (deg): 60.00 60.00 60.00
With the nearest neighbours (Å) after each atom.
Element x y z (fractional)
1 Hg 0.2500 0.2500 0.2500  4 Dy 3.40, 4 Er 3.40
2 Er 0.5000 0.5000 0.5000  4 Hg 3.40, 4 Ac 3.40
3 Dy 0.0000 0.0000 0.0000  4 Ac 3.40, 4 Hg 3.40
4 Ac 0.7500 0.7500 0.7500  4 Er 3.40, 4 Dy 3.40

(4)
## AcDy2Ho6Er (PBE)

Data for an optimized crystal structure of AcDy2Ho6Er.

Properties
Space-group type: C2/c
Final energy: -44.0 eV per formula unit

a b c (Å): 9.4649 8.8721 8.8721
angles (deg): 117.77 92.54 92.54
With the nearest neighbours (Å) after each atom.
Element x y z (fractional)
1 Ho 0.8181 0.4432 0.9854  5 Ho 3.21-3.57, 2 Dy 3.40-3.48, 1 Er 3.49
2 Ho 0.9420 0.8688 0.2494  7 Ho 3.42-3.77, 1 Dy 3.56, 1 Ac 3.82
3 Ho 0.0580 0.1312 0.7506  7 Ho 3.42-3.77, 1 Dy 3.56, 1 Ac 3.82
4 Ho 0.4420 0.2494 0.8688  7 Ho 3.42-3.77, 1 Dy 3.56, 1 Ac 3.82
5 Ho 0.5580 0.7506 0.1312  7 Ho 3.42-3.77, 1 Dy 3.56, 1 Ac 3.82
6 Ho 0.6156 0.4913 0.7127  4 Ho 3.21-3.45, 3 Dy 3.25-3.41, 2 Er 3.43-3.52
7 Ho 0.6819 0.0146 0.5568  5 Ho 3.21-3.57, 2 Dy 3.40-3.48, 1 Er 3.49
8 Ho 0.3844 0.5087 0.2873  4 Ho 3.21-3.45, 3 Dy 3.25-3.41, 2 Er 3.43-3.52
9 Ho 0.8844 0.2873 0.5087  4 Ho 3.21-3.45, 3 Dy 3.25-3.41, 2 Er 3.43-3.52
10 Ho 0.3181 0.9854 0.4432  5 Ho 3.21-3.57, 2 Dy 3.40-3.48, 1 Er 3.49
11 Ho 0.1156 0.7127 0.4913  4 Ho 3.21-3.45, 3 Dy 3.25-3.41, 2 Er 3.43-3.52
12 Ho 0.1819 0.5568 0.0146  5 Ho 3.21-3.57, 2 Dy 3.40-3.48, 1 Er 3.49
13 Dy 0.0491 0.3172 0.2025  6 Ho 3.25-3.56, 2 Ac 3.44-3.57, 1 Er 3.55
14 Dy 0.5491 0.2025 0.3172  6 Ho 3.25-3.56, 2 Ac 3.44-3.57, 1 Er 3.55
15 Dy 0.9509 0.6828 0.7975  6 Ho 3.25-3.56, 2 Ac 3.44-3.57, 1 Er 3.55
16 Dy 0.4509 0.7975 0.6828  6 Ho 3.25-3.56, 2 Ac 3.44-3.57, 1 Er 3.55
17 Ac 0.7500 0.0296 0.9704  4 Dy 3.44-3.57, 4 Ho 3.64-3.82
18 Ac 0.2500 0.9704 0.0296  4 Dy 3.44-3.57, 4 Ho 3.64-3.82
19 Er 0.2500 0.4121 0.5879  8 Ho 3.43-3.84, 4 Dy 3.55-3.76
20 Er 0.7500 0.5879 0.4121  8 Ho 3.43-3.84, 4 Dy 3.55-3.76

(5)
## AcDyHo2Er4 (PBE)

Data for an optimized crystal structure of AcDyHo2Er4.

Properties
Space-group type: Pmmm
Final energy: -35.7 eV per formula unit

a b c (Å): 5.0721 5.0503 11.2777
angles (deg): 63.42 90.00 90.00
With the nearest neighbours (Å) after each atom.
Element x y z (fractional)
1 Ho 0.5000 0.0001 0.4999  8 Er 3.50-3.52, 4 Dy 3.58
2 Ho 0.0000 0.9999 0.0001  4 Ac 3.58, 8 Er 3.63-3.64
3 Er 0.0000 0.7585 0.7415  2 Dy 3.51, 4 Ho 3.52-3.63, 4 Er 3.58, 2 Ac 3.64
4 Er 0.5000 0.7412 0.2589  4 Ho 3.50-3.64, 2 Dy 3.51, 4 Er 3.58, 2 Ac 3.63
5 Er 0.0000 0.2415 0.2585  2 Dy 3.51, 4 Ho 3.52-3.63, 4 Er 3.58, 2 Ac 3.64
6 Er 0.5000 0.2589 0.7411  4 Ho 3.51-3.64, 2 Dy 3.51, 4 Er 3.58, 2 Ac 3.63
7 Dy 0.0000 0.5001 0.4999  8 Er 3.51, 4 Ho 3.58
8 Ac 0.5000 0.4999 0.0001  4 Ho 3.58, 8 Er 3.63-3.64

(6)
## AcDy3Ho6Er2 (PBE)

Data for an optimized crystal structure of AcDy3Ho6Er2.

Properties
Space-group type: C2/m
Final energy: -54.1 eV per formula unit

a b c (Å): 6.1662 6.1662 11.8035
angles (deg): 94.98 94.98 119.97
With the nearest neighbours (Å) after each atom.
Element x y z (fractional)
1 Ho 0.0855 0.4221 0.2540  3 Dy 3.51-3.53, 6 Ho 3.54-3.60, 2 Er 3.59, 1 Ac 3.61
2 Ho 0.5779 0.9145 0.7460  3 Dy 3.51-3.53, 6 Ho 3.54-3.60, 2 Er 3.59, 1 Ac 3.61
3 Ho 0.4221 0.0855 0.2540  3 Dy 3.51-3.53, 6 Ho 3.54-3.60, 2 Er 3.59, 1 Ac 3.61
4 Ho 0.9145 0.5779 0.7460  3 Dy 3.51-3.53, 6 Ho 3.54-3.60, 2 Er 3.59, 1 Ac 3.61
5 Ho 0.2513 0.2513 0.7458  3 Dy 3.51-3.53, 6 Ho 3.54-3.60, 2 Er 3.60, 1 Ac 3.61
6 Ho 0.7487 0.7487 0.2542  3 Dy 3.51-3.53, 6 Ho 3.54-3.60, 2 Er 3.60, 1 Ac 3.61
7 Dy 0.1671 0.8329 0.5000  6 Ho 3.51-3.53, 6 Dy 3.55-3.57
8 Dy 0.5000 0.5000 0.5000  6 Ho 3.51-3.53, 6 Dy 3.55-3.56
9 Dy 0.8329 0.1671 0.5000  6 Ho 3.51-3.53, 6 Dy 3.55-3.57
10 Er 0.6666 0.3334 0.0000  3 Er 3.56, 3 Ac 3.56, 6 Ho 3.59-3.60
11 Er 0.3334 0.6666 0.0000  3 Er 3.56, 3 Ac 3.56, 6 Ho 3.59-3.60
12 Ac 0.0000 0.0000 0.0000  6 Er 3.56, 6 Ho 3.61

(7)
## AcDy2Ho5Er (PBE)

Data for an optimized crystal structure of AcDy2Ho5Er.

Properties
Space-group type: I4/mcm
Final energy: -38.2 eV per formula unit

a b c (Å): 8.9900 8.9900 9.7687
angles (deg): 117.40 117.40 90.00
With the nearest neighbours (Å) after each atom.
Element x y z (fractional)
1 Ac 0.7500 0.7500 0.5000  10 Ho 3.71
2 Ac 0.2500 0.2500 0.5000  10 Ho 3.71
3 Er 0.2500 0.7500 0.5000  4 Ho 3.16
4 Er 0.7500 0.2500 0.5000  4 Ho 3.16
5 Ho 0.0759 0.5759 0.7457  1 Dy 3.01, 1 Er 3.16
6 Ho 0.0000 0.0000 0.0000  4 Dy 3.63, 2 Ac 3.71, 8 Ho 3.74
7 Ho 0.5759 0.6699 0.7457  1 Dy 3.01, 1 Er 3.16
8 Ho 0.3301 0.8301 0.2543  1 Dy 3.01, 1 Er 3.16
9 Ho 0.5000 0.5000 0.0000  4 Dy 3.63, 2 Ac 3.71, 8 Ho 3.74
10 Ho 0.9241 0.4241 0.2543  1 Dy 3.01, 1 Er 3.16
11 Ho 0.8301 0.9241 0.2543  1 Dy 3.01, 1 Er 3.16
12 Ho 0.6699 0.1699 0.7457  1 Dy 3.01, 1 Er 3.16
13 Ho 0.1699 0.0759 0.7457  1 Dy 3.01, 1 Er 3.16
14 Ho 0.4241 0.3301 0.2543  1 Dy 3.01, 1 Er 3.16
15 Dy 0.3876 0.8876 0.0000  1 Dy 2.86, 2 Ho 3.01
16 Dy 0.8876 0.6124 0.0000  1 Dy 2.86, 2 Ho 3.01
17 Dy 0.1124 0.3876 0.0000  1 Dy 2.86, 2 Ho 3.01
18 Dy 0.6124 0.1124 0.0000  1 Dy 2.86, 2 Ho 3.01

(8)
## AcDy2HoEr4 (PBE)

Data for an optimized crystal structure of AcDy2HoEr4.

Properties
Space-group type: Pmmm
Final energy: -35.8 eV per formula unit

a b c (Å): 5.0757 5.0528 11.2781
angles (deg): 63.41 90.00 90.00
With the nearest neighbours (Å) after each atom.
Element x y z (fractional)
1 Ac 0.5000 0.5000 0.0000  4 Dy 3.58, 8 Er 3.63-3.64
2 Dy 0.0000 0.0000 0.0000  4 Ac 3.58, 8 Er 3.63-3.64
3 Dy 0.5000 0.0000 0.5000  8 Er 3.51-3.52, 4 Ho 3.58
4 Er 0.0000 0.7586 0.7413  2 Ho 3.51, 4 Dy 3.52-3.63, 4 Er 3.58, 2 Ac 3.64
5 Er 0.5000 0.2588 0.7411  4 Dy 3.51-3.64, 2 Ho 3.51, 4 Er 3.58, 2 Ac 3.63
6 Er 0.0000 0.2414 0.2587  2 Ho 3.51, 4 Dy 3.52-3.63, 4 Er 3.58, 2 Ac 3.64
7 Er 0.5000 0.7412 0.2589  4 Dy 3.51-3.64, 2 Ho 3.51, 4 Er 3.58, 2 Ac 3.63
8 Ho 0.0000 0.5000 0.5000  8 Er 3.51, 4 Dy 3.58

(9)
## AcDyHo4Er2 (PBE)

Data for an optimized crystal structure of AcDyHo4Er2.

Properties
Space-group type: Pmmm
Final energy: -35.8 eV per formula unit

a b c (Å): 5.0713 5.0497 11.3107
angles (deg): 63.49 90.00 90.00
With the nearest neighbours (Å) after each atom.
Element x y z (fractional)
1 Dy 0.0000 0.4999 0.5001  8 Ho 3.51-3.52, 4 Er 3.58
2 Ac 0.5000 0.5001 0.9999  4 Er 3.58, 8 Ho 3.64
3 Ho 0.5000 0.2591 0.7409  4 Er 3.51-3.65, 2 Dy 3.52, 4 Ho 3.58, 2 Ac 3.64
4 Ho 0.5000 0.7408 0.2592  4 Er 3.51-3.65, 2 Dy 3.52, 4 Ho 3.58, 2 Ac 3.64
5 Ho 0.0000 0.2414 0.2586  2 Dy 3.51, 4 Er 3.52-3.64, 4 Ho 3.58, 2 Ac 3.64
6 Ho 0.0000 0.7586 0.7415  2 Dy 3.51, 4 Er 3.52-3.64, 4 Ho 3.58, 2 Ac 3.64
7 Er 0.0000 0.0001 0.9999  4 Ac 3.58, 8 Ho 3.64-3.65
8 Er 0.5000 0.0000 0.5000  8 Ho 3.51-3.52, 4 Dy 3.58